Entry 1:
La2CdHgIr (PBE-GGA, optimized geometry); ΔE_f = -369 meV/atom; calculated volume = 32.1 A^3/atom; energy above the most stable polymorph in this dataset = 206 meV per atom; uncorrected energy = -4.36 eV per atom
1.0
5.4899 0.0000 0.0000
0.0000 5.4899 0.0000
0.0000 0.0000 5.3199
La Cd Hg Ir
2 1 1 1
direct
0.0000 0.5000 0.0000
0.5000 0.0000 0.0000
0.0000 0.0000 0.5000
0.5000 0.5000 0.5000
0.5000 0.5000 0.0000

---

Entry 2:
La2CdHgIr (PBE-GGA, optimized geometry); ΔE_f = -575 meV/atom; calculated volume = 27.5 A^3/atom; energy above the most stable polymorph in this dataset = 0 meV per atom; uncorrected energy = -4.56 eV per atom
1.0
8.2701 0.0000 0.0000
0.0000 4.2416 0.0000
-3.2224 0.0000 7.8518
La Cd Hg Ir
4 2 2 2
direct
0.0141 0.2500 0.2263
0.3446 0.7500 0.6172
0.6554 0.2500 0.3828
0.9859 0.7500 0.7737
0.3513 0.2500 0.9526
0.6487 0.7500 0.0474
0.3141 0.7500 0.2008
0.6859 0.2500 0.7992
0.1080 0.2500 0.6168
0.8920 0.7500 0.3832

---

Number 1: D(E_F) 0.525 states/eV per atom. Number 2: D(E_F) 0.855 states/eV per atom.